An optimized crystal structure of SrCeCd6, computed with PBE-GGA.

## Properties
* uncorrected energy: -1.87 eV/atom
* energy of formation from the pure elements: -0.2296 eV/atom
* magnetic moment: 0.9 μB/f.u.
* energy above the most stable polymorph in this dataset: 0.0000 eV/atom
* D(E_F): 1.05 states/eV per atom
* symmetry: Pmm2

Cell lengths 5.204, 7.444, 5.208 Å; angles 90.00, 90.00, 90.00 degrees
Positions (direct):
1 Sr 0.000 0.000 0.000
2 Ce 0.500 0.500 0.495
3 Cd 0.000 0.255 0.500
4 Cd 0.000 0.500 0.999
5 Cd 0.000 0.745 0.500
6 Cd 0.500 0.000 0.496
7 Cd 0.500 0.256 0.995
8 Cd 0.500 0.744 0.995

---

An optimized crystal structure of SrPmPr14, computed with PBE-GGA.

## Properties
* uncorrected energy: -4.55 eV/atom
* energy of formation from the pure elements: 0.0375 eV/atom
* magnetic moment: 0.0 μB/f.u.
* D(E_F): 1.51 states/eV per atom
* symmetry: P4/mmm

Cell lengths 7.486, 7.486, 10.518 Å; angles 90.00, 90.00, 90.00 degrees
Positions (direct):
1 Sr 0.000 0.000 0.000
2 Pm 0.500 0.500 0.000
3 Pr 0.000 0.000 0.500
4 Pr 0.000 0.500 0.000
5 Pr 0.000 0.500 0.500
6 Pr 0.255 0.255 0.254
7 Pr 0.255 0.255 0.746
8 Pr 0.255 0.745 0.254
9 Pr 0.255 0.745 0.746
10 Pr 0.500 0.000 0.000
11 Pr 0.500 0.000 0.500
12 Pr 0.500 0.500 0.500
13 Pr 0.745 0.255 0.254
14 Pr 0.745 0.255 0.746
15 Pr 0.745 0.745 0.254
16 Pr 0.745 0.745 0.746

---

An optimized crystal structure of Np2BiN, computed with PBE-GGA.

## Properties
* uncorrected energy: -9.57 eV/atom
* magnetic moment: 1.5 μB/f.u.
* energy above the most stable polymorph in this dataset: 0.4817 eV/atom
* D(E_F): 1.62 states/eV per atom
* symmetry: R-3m

Cell lengths 6.151, 6.151, 6.151 Å; angles 38.97, 38.97, 38.97 degrees
Positions (direct):
1 Np 0.193 0.193 0.193
2 Np 0.807 0.807 0.807
3 Bi 0.000 0.000 0.000
4 N 0.500 0.500 0.500

---

An optimized crystal structure of TbTmRuRh, computed with PBE-GGA.

## Properties
* uncorrected energy: -7.09 eV/atom
* energy of formation from the pure elements: -0.6570 eV/atom
* magnetic moment: 0.0 μB/f.u.
* energy above the most stable polymorph in this dataset: 0.0000 eV/atom
* D(E_F): 0.43 states/eV per atom
* symmetry: F-43m

Cell lengths 4.802, 4.802, 4.802 Å; angles 60.00, 60.00, 60.00 degrees
Positions (direct):
1 Tb 0.000 0.000 0.000
2 Tm 0.500 0.500 0.500
3 Ru 0.750 0.750 0.750
4 Rh 0.250 0.250 0.250